(1)
{"formula": "TlCdNi", "functional": "PBE-GGA", "state": "optimized geometry", "n_ef_per_ev_fu": 1.3, "space_group": "Fddd (70)", "delta_e_f_mev_per_atom": 87, "vol_a3_per_atom": 19.540, "final_energy_ev_per_atom": -2.934, "cell": [[5.376, 0.000, 0.000], [2.688, 4.780, 0.000], [2.688, 0.000, 9.126]], "species": ["Cd", "Cd", "Cd", "Cd", "Ni", "Ni", "Ni", "Ni", "Tl", "Tl", "Tl", "Tl"], "frac_coords": [[0.160, 0.500, 0.680], [0.340, 0.500, 0.320], [0.590, 0.000, 0.820], [0.410, 0.000, 0.180], [0.621, 0.500, 0.758], [0.879, 0.500, 0.242], [0.129, 0.000, 0.742], [0.871, 0.000, 0.258], [0.911, 0.177, 0.500], [0.589, 0.823, 0.500], [0.839, 0.323, 0.000], [0.161, 0.677, 0.000]]}

---

(2)
{"formula": "Tl2CdNi", "functional": "PBE-GGA", "state": "optimized geometry", "n_ef_per_ev_fu": 3.2, "space_group": "Cmmm (65)", "delta_e_f_mev_per_atom": 373, "vol_a3_per_atom": 22.326, "final_energy_ev_per_atom": -2.484, "cell": [[4.957, 0.285, 0.000], [-0.275, 4.958, 0.000], [0.000, 0.000, 3.622]], "species": ["Cd", "Ni", "Tl", "Tl"], "frac_coords": [[0.500, 0.000, 0.500], [0.000, 0.500, 0.500], [0.000, 0.000, 0.000], [0.500, 0.500, 0.000]]}

---

(3)
{"formula": "Tl2CdNi", "functional": "PBE-GGA", "state": "optimized geometry", "n_ef_per_ev_fu": 2.4, "space_group": "P2/m (10)", "delta_e_f_mev_per_atom": 230, "vol_a3_per_atom": 26.089, "final_energy_ev_per_atom": -2.627, "cell": [[3.327, 0.000, 0.000], [0.000, 6.555, 0.145], [0.000, 4.511, 4.884]], "species": ["Cd", "Ni", "Tl", "Tl"], "frac_coords": [[0.500, 0.250, 0.250], [0.500, 0.750, 0.750], [0.000, 0.916, 0.923], [0.000, 0.584, 0.577]]}

---

(4)
{"formula": "Tl2CdNi", "functional": "PBE-GGA", "state": "optimized geometry", "n_ef_per_ev_fu": 1.8, "space_group": "P4mm (99)", "delta_e_f_mev_per_atom": 155, "vol_a3_per_atom": 22.762, "final_energy_ev_per_atom": -2.703, "cell": [[-0.258, -1.851, -2.683], [3.260, -0.200, -0.175], [-0.169, -6.998, 4.846]], "species": ["Cd", "Ni", "Tl", "Tl"], "frac_coords": [[0.000, 0.000, 0.563], [0.500, 0.500, 0.737], [0.000, 0.000, 0.935], [0.500, 0.500, 0.265]]}

---

(5)
{"formula": "Tl2CdNi", "functional": "PBE-GGA", "state": "optimized geometry", "n_ef_per_ev_fu": 1.9, "space_group": "I4/mmm (139)", "delta_e_f_mev_per_atom": 361, "vol_a3_per_atom": 22.163, "final_energy_ev_per_atom": -2.497, "cell": [[-2.298, -0.259, 4.618], [-4.872, -0.651, -1.585], [4.021, -2.880, -1.486]], "species": ["Cd", "Ni", "Tl", "Tl"], "frac_coords": [[0.250, 0.750, 0.500], [0.750, 0.250, 0.500], [0.000, 0.000, 0.000], [0.500, 0.500, 0.000]]}

---

(6)
{"formula": "Tl2CdNi", "functional": "PBE-GGA", "state": "optimized geometry", "n_ef_per_ev_fu": 2.1, "space_group": "Fm-3m (225)", "delta_e_f_mev_per_atom": 366, "vol_a3_per_atom": 22.340, "final_energy_ev_per_atom": -2.492, "cell": [[2.852, -1.726, 3.751], [-0.752, -4.623, 1.802], [3.374, -3.612, -0.870]], "species": ["Ni", "Tl", "Tl", "Cd"], "frac_coords": [[0.000, 0.000, 0.000], [0.250, 0.250, 0.250], [0.750, 0.750, 0.750], [0.500, 0.500, 0.500]]}

---

(7)
{"formula": "Tl2CdNi", "functional": "PBE-GGA", "state": "optimized geometry", "n_ef_per_ev_fu": 1.8, "space_group": "P4/mmm (123)", "delta_e_f_mev_per_atom": 245, "vol_a3_per_atom": 22.668, "final_energy_ev_per_atom": -2.613, "cell": [[-2.476, 2.126, -0.160], [-0.067, -0.323, -3.250], [-5.540, -6.396, 0.749]], "species": ["Cd", "Ni", "Tl", "Tl"], "frac_coords": [[0.500, 0.500, 0.250], [0.500, 0.500, 0.750], [0.000, 0.000, 0.948], [0.000, 0.000, 0.552]]}

---

(8)
{"formula": "TlCdNi", "functional": "PBE-GGA", "state": "optimized geometry", "n_ef_per_ev_fu": 2.3, "space_group": "F-43m (216)", "delta_e_f_mev_per_atom": 166, "vol_a3_per_atom": 20.947, "final_energy_ev_per_atom": -2.855, "cell": [[4.463, 0.000, 0.000], [2.231, 3.865, 0.000], [2.231, 1.288, 3.644]], "species": ["Cd", "Ni", "Tl"], "frac_coords": [[0.500, 0.500, 0.500], [0.750, 0.750, 0.750], [0.000, 0.000, 0.000]]}

---

Copy entry 7 word for word.
{"formula": "Tl2CdNi", "functional": "PBE-GGA", "state": "optimized geometry", "n_ef_per_ev_fu": 1.8, "space_group": "P4/mmm (123)", "delta_e_f_mev_per_atom": 245, "vol_a3_per_atom": 22.668, "final_energy_ev_per_atom": -2.613, "cell": [[-2.476, 2.126, -0.160], [-0.067, -0.323, -3.250], [-5.540, -6.396, 0.749]], "species": ["Cd", "Ni", "Tl", "Tl"], "frac_coords": [[0.500, 0.500, 0.250], [0.500, 0.500, 0.750], [0.000, 0.000, 0.948], [0.000, 0.000, 0.552]]}